This record from Alexandria describes a relaxed BaNa2ScV crystal. The functional is PBE.

```
5
Lattice="5.6339 0.0000 0.0000 0.0000 5.6339 0.0000 0.0000 0.0000 5.7469" Properties=species:S:1:pos:R:3 pbc="T T T"
Ba 0.0000 0.0000 0.0000
Na 0.0000 2.8170 0.0000
Na 2.8170 0.0000 0.0000
Sc 0.0000 0.0000 2.8735
V 2.8170 2.8170 2.8735
```

Properties
Symmetry: P4/mmm (123)
Formation enthalpy at 0 K: 1.8412 eV/atom

This record from Alexandria describes a relaxed Ba2NaSe crystal. The functional is PBE.

```
4
Lattice="2.2981 1.3268 10.3026 -2.2981 1.3268 10.3026 0.0000 -2.6536 10.3026" Properties=species:S:1:pos:R:3 pbc="T T T"
Ba 0.0000 0.0000 0.0000
Ba 0.0000 0.0000 6.4479
Na 0.0000 0.0000 23.8325
Se 0.0000 0.0000 18.6869
```

Properties
Formation energy (no corrections): -3.7 eV/f.u.
Symmetry: R3m (160)

This record from Alexandria describes a relaxed Ba2NaSe2 crystal. The functional is PBE.

```
10
Lattice="9.2019 0.0000 0.0000 0.0000 9.2019 0.0000 0.0000 0.0000 4.0980" Properties=species:S:1:pos:R:3 pbc="T T T"
Ba 1.3406 3.2603 0.0000
Ba 3.2603 7.8613 0.0000
Ba 5.9416 1.3406 0.0000
Ba 7.8613 5.9416 0.0000
Na 0.0000 0.0000 0.0000
Na 4.6010 4.6010 0.0000
Se 1.4317 6.0327 2.0490
Se 3.1692 1.4317 2.0490
Se 6.0327 7.7702 2.0490
Se 7.7702 3.1692 2.0490
```

Properties
Energy above the lowest structure with this stoichiometry: 192 meV/atom
Formation energy (no corrections): -6.5 eV/f.u.
Symmetry: P4/mbm (127)